DFT (PBE-GGA) results for Y2Ho5Tm after structural relaxation.

Cell lengths 4.9874, 7.0640, 14.1287 Å; angles 90.00, 90.00, 90.00 degrees
With the nearest neighbours (Å) after each atom.
Positions (direct):
Y1 0.5000 0.2496 0.6249  2 Tm 3.53, 10 Ho 3.53-3.54
Y2 0.5000 0.7504 0.3751  2 Tm 3.53, 10 Ho 3.53-3.54
Y3 0.5000 0.2504 0.1249  2 Tm 3.53, 10 Ho 3.53-3.54
Y4 0.5000 0.7496 0.8751  2 Tm 3.53, 10 Ho 3.53-3.54
Ho1 0.0000 0.0000 0.0000  6 Ho 3.53, 4 Y 3.53, 2 Tm 3.53
Ho2 0.0000 0.5000 0.5000  6 Ho 3.53, 4 Y 3.53, 2 Tm 3.53
Ho3 0.0000 0.4995 0.7501  4 Y 3.53, 7 Ho 3.53, 1 Tm 3.53
Ho4 0.0000 0.5005 0.2499  4 Y 3.53, 7 Ho 3.53, 1 Tm 3.53
Ho5 0.0000 0.0005 0.2501  4 Y 3.53, 7 Ho 3.53, 1 Tm 3.53
Ho6 0.0000 0.9995 0.7499  4 Y 3.53, 7 Ho 3.53, 1 Tm 3.53
Ho7 0.5000 0.2496 0.8753  6 Ho 3.53, 4 Y 3.53-3.54, 2 Tm 3.53
Ho8 0.5000 0.7504 0.1247  6 Ho 3.53, 4 Y 3.53-3.54, 2 Tm 3.53
Ho9 0.5000 0.2504 0.3753  6 Ho 3.53, 4 Y 3.53-3.54, 2 Tm 3.53
Ho10 0.5000 0.7496 0.6247  6 Ho 3.53, 4 Y 3.53-3.54, 2 Tm 3.53
Tm1 0.0000 0.0000 0.5000  4 Y 3.53, 8 Ho 3.53
Tm2 0.0000 0.5000 0.0000  4 Y 3.53, 8 Ho 3.53

**Offset from the most stable computed form**: 0.0 meV/atom
**Space group**: Pbam, No. 55
**Formation energy from the elements**: 0.021 eV per atom
**Uncorrected energy**: -80.24 eV/cell